# 1
A plane-wave DFT calculation with PBE was carried out for crystalline HgOsSe2 at its relaxed geometry.

Lattice parameters (Å, degrees): 2.986 4.952 11.408 90.00 90.00 90.00
Space group Immm (No. 71)
One atom of each set of equivalent atoms:
Hg: 0.000 0.000 0.000
Os: 0.000 0.000 0.500
Se: 0.000 0.500 0.179

uncorrected energy: -0.317 Ry/atom
uncorrected formation energy: 0.312 eV/atom
magnetic moment: 0.00 μB per cell


# 2
A plane-wave DFT calculation with PBE was carried out for crystalline HgOsSe2 at its relaxed geometry.

Lattice parameters (Å, degrees): 2.986 3.289 19.856 90.00 90.00 90.00
Space group Imm2 (No. 44)
One atom of each set of equivalent atoms:
Hg: 0.000 0.000 0.000
Os: 0.000 0.500 0.757
Se: 0.000 0.000 0.666
Se: 0.000 0.500 0.325

uncorrected energy: -0.331 Ry/atom
uncorrected formation energy: 0.128 eV/atom
magnetic moment: 0.00 μB per cell


# 3
A plane-wave DFT calculation with PBE was carried out for crystalline Th6HgOs3Se2 at its relaxed geometry.

Lattice parameters (Å, degrees): 18.830 4.139 8.809 90.00 105.57 90.00
Space group C2/m (No. 12)
One atom of each set of equivalent atoms:
Th: 0.003 0.000 0.217
Th: 0.160 0.500 0.112
Th: 0.180 0.500 0.573
Hg: 0.000 0.500 0.500
Os: 0.000 0.500 0.000
Os: 0.165 0.000 0.339
Se: 0.170 0.000 0.844

uncorrected energy: -0.580 Ry/atom
uncorrected formation energy: -0.765 eV/atom
magnetic moment: 0.00 μB per cell


# 4
A plane-wave DFT calculation with PBE was carried out for crystalline Ti2HgOsSe at its relaxed geometry.

Lattice parameters (Å, degrees): 4.932 4.932 4.966 90.00 90.00 90.00
Space group P4/mmm (No. 123)
One atom of each set of equivalent atoms:
Ti: 0.000 0.500 0.000
Hg: 0.000 0.000 0.000
Os: 0.000 0.000 0.500
Se: 0.500 0.500 0.500

uncorrected energy: -0.334 Ry/atom
uncorrected formation energy: 1.622 eV/atom
magnetic moment: 0.01 μB per cell